[1]
PBE Ac2PaZn, optimized geometry; energy above the most stable polymorph in this dataset = 0.000 eV per atom; DOS(E_F) = 5.4 states/eV/cell
1.0
-3.556 0.632 0.755
-0.889 -0.844 -3.480
-1.064 -8.877 2.424
Ac Pa Zn
2 1 1
Direct
0.000 0.000 0.772
0.000 0.000 0.228
0.500 0.500 0.500
0.500 0.500 0.000



[2]
PBE LiTl2Pb2, optimized geometry; energy above the most stable polymorph in this dataset = 0.000 eV per atom; DOS(E_F) = 1.6 states/eV/cell
1.0
-5.533 -0.243 -1.987
-4.554 -3.249 1.825
-6.333 2.189 3.353
Li Tl Pb
1 2 2
Direct
0.000 0.000 0.000
0.798 0.798 0.593
0.202 0.202 0.407
0.612 0.612 0.184
0.388 0.388 0.816